# 1
PBE Sm2ThMg, optimized geometry; energy above the most stable polymorph in this dataset = 199 meV per atom
1.0
-4.593 -2.293 2.217
-0.342 -0.791 5.525
-3.486 3.122 3.061
Sm Th Mg
2 1 1
Direct
0.750 0.750 0.750
0.250 0.250 0.250
0.000 0.000 0.000
0.500 0.500 0.500



# 2
Below is an optimized crystal structure of Sm2ThMg6, with properties calculated at the PBE level.

```
Sm2ThMg6
1.0
3.320 0.000 0.000
0.000 7.934 4.563
-0.002 0.016 9.153
Mg Sm Th
6 2 1
Direct
0.499 0.000 0.666
0.500 0.334 0.666
0.499 0.666 0.000
0.500 0.666 0.334
0.501 0.000 0.334
0.501 0.334 0.000
0.000 0.667 0.667
0.000 0.333 0.333
0.000 0.000 0.000
```



# 3
Below is an optimized crystal structure of Sm5ThMg6, with properties calculated at the PBE level.

```
Sm5ThMg6
1.0
-3.305 1.001 -4.207
-6.040 -2.177 4.228
-2.614 8.187 0.482
Sm Mg Th
5 6 1
Direct
0.336 0.000 0.329
0.666 0.500 0.667
0.000 0.500 0.000
0.664 0.000 0.671
0.334 0.500 0.333
0.168 0.750 0.665
0.500 0.747 0.000
0.832 0.250 0.335
0.168 0.250 0.665
0.500 0.253 0.000
0.832 0.750 0.335
0.000 0.000 0.000
```



# 4
Below is an optimized crystal structure of Sm14ThMg, with properties calculated at the PBE level.

```
Sm14ThMg
1.0
7.126 0.957 0.000
-0.956 7.126 0.000
0.000 0.000 10.223
Sm Mg Th
14 1 1
Direct
0.123 0.877 0.753
0.375 0.625 0.500
0.375 0.125 0.500
0.627 0.877 0.247
0.875 0.625 0.000
0.627 0.373 0.246
0.627 0.373 0.754
0.123 0.373 0.753
0.875 0.625 0.500
0.123 0.373 0.247
0.375 0.125 0.000
0.875 0.125 0.500
0.123 0.877 0.247
0.627 0.877 0.753
0.375 0.625 0.000
0.875 0.125 0.000
```



# 5
PBE Sm2ThMg, optimized geometry; energy above the most stable polymorph in this dataset = 77 meV per atom
1.0
-1.266 -0.407 -3.315
2.213 -0.878 -2.663
-1.567 -11.466 0.073
Th Mg Sm
1 1 2
Direct
0.667 0.667 0.999
0.500 0.500 0.500
0.083 0.083 0.750
0.250 0.250 0.250



# 6
PBE Sm2ThMg, optimized geometry; energy above the most stable polymorph in this dataset = 100 meV per atom
1.0
-2.835 1.852 -3.659
-4.007 -2.106 2.039
-0.789 4.100 2.686
Mg Sm Th
1 2 1
Direct
0.500 0.000 0.000
0.000 0.000 0.500
0.000 0.500 0.000
0.500 0.500 0.500



# 7
Below is an optimized crystal structure of Sm8Th2Mg, with properties calculated at the PBE level.

```
Sm8Th2Mg
1.0
-0.004 1.980 -5.223
-8.432 5.419 2.036
-0.476 7.818 2.950
Th Sm Mg
2 8 1
Direct
0.500 0.376 0.242
0.500 0.618 0.758
0.000 0.745 0.505
0.000 0.249 0.495
0.000 0.331 0.000
0.499 0.025 0.270
0.000 0.663 0.000
0.499 0.294 0.731
0.501 0.700 0.270
0.501 0.969 0.730
0.000 0.997 0.000
```



# 8
PBE SmThMg4, optimized geometry; energy above the most stable polymorph in this dataset = 0 meV per atom
1.0
-4.019 3.987 2.181
-1.133 0.215 5.956
1.900 4.737 3.280
Mg Th Sm
4 1 1
Direct
0.625 0.125 0.625
0.625 0.625 0.125
0.125 0.625 0.625
0.625 0.625 0.625
0.000 0.000 0.000
0.250 0.250 0.250



# 9
Below is an optimized crystal structure of Sm3ThMg4, with properties calculated at the PBE level.

```
Sm3ThMg4
1.0
-3.229 -0.359 -2.032
-1.370 -4.367 2.949
-5.186 6.425 7.105
Mg Sm Th
4 3 1
Direct
0.000 0.000 0.000
0.000 0.500 0.747
0.000 0.000 0.500
0.000 0.500 0.253
0.500 0.500 0.500
0.500 0.000 0.247
0.500 0.000 0.753
0.500 0.500 0.000
```



# 10
PBE SmThMg2, optimized geometry; energy above the most stable polymorph in this dataset = 0 meV per atom
1.0
-0.392 3.540 -1.420
-3.428 -0.953 -1.429
-3.364 2.260 6.562
Mg Sm Th
2 1 1
Direct
0.000 0.000 0.745
0.000 0.000 0.255
0.500 0.500 0.500
0.500 0.500 0.000



# 11
Below is an optimized crystal structure of SmThMg17, with properties calculated at the PBE level.

```
SmThMg17
1.0
-4.988 5.782 1.492
-6.468 -4.295 0.514
-0.169 -0.727 7.745
Mg Sm Th
17 1 1
Direct
0.352 0.843 0.352
0.303 0.697 0.000
0.646 0.164 0.646
0.646 0.646 0.164
0.000 0.303 0.697
0.996 0.996 0.503
0.843 0.352 0.352
0.901 0.901 0.901
0.303 0.000 0.697
0.099 0.099 0.099
0.503 0.996 0.996
0.697 0.303 0.000
0.697 0.000 0.303
0.352 0.352 0.843
0.164 0.646 0.646
0.996 0.503 0.996
0.000 0.697 0.303
0.330 0.330 0.330
0.670 0.670 0.670
```



# 12
Below is an optimized crystal structure of SmThMgTi, with properties calculated at the PBE level.

```
SmThMgTi
1.0
5.333 0.000 0.000
2.667 4.619 0.000
2.667 1.540 4.355
Ti Sm Mg Th
1 1 1 1
Direct
0.250 0.250 0.250
0.500 0.500 0.500
0.750 0.750 0.750
0.000 0.000 0.000
```



# 13
Below is an optimized crystal structure of Sm2Tm2ThMg5, with properties calculated at the PBE level.

```
Sm2Tm2ThMg5
1.0
5.155 0.000 0.000
0.000 10.534 0.000
0.000 0.000 10.534
Mg Sm Th Tm
10 4 2 4
Direct
0.500 0.926 0.199
0.500 0.301 0.574
0.500 0.574 0.699
0.500 0.074 0.801
0.500 0.000 0.500
0.500 0.500 0.000
0.500 0.699 0.426
0.500 0.801 0.926
0.500 0.199 0.074
0.500 0.426 0.301
0.000 0.823 0.677
0.000 0.323 0.823
0.000 0.677 0.177
0.000 0.177 0.323
0.000 0.500 0.500
0.000 0.000 0.000
0.000 0.881 0.381
0.000 0.381 0.119
0.000 0.619 0.881
0.000 0.119 0.619
```



# 14
Below is an optimized crystal structure of Sm4Y2ThMg, with properties calculated at the PBE level.

```
Sm4Y2ThMg
1.0
-2.619 4.412 2.909
3.678 -3.161 8.105
5.148 1.410 2.497
Y Sm Mg Th
2 4 1 1
Direct
0.000 0.000 0.000
0.500 0.000 0.500
0.500 0.261 0.740
0.000 0.260 0.240
0.000 0.740 0.760
0.500 0.739 0.260
0.500 0.500 0.000
0.000 0.500 0.500
```



# 15
PBE SmYThMg, optimized geometry; energy above the most stable polymorph in this dataset = 0 meV per atom
1.0
-1.075 0.623 3.396
-3.082 -1.776 -0.650
3.984 -7.904 2.709
Th Mg Sm Y
1 1 1 1
Direct
0.500 0.500 0.819
0.500 0.500 0.325
0.000 0.000 0.081
0.000 0.000 0.560



# 16
PBE SmYThMg, optimized geometry; energy above the most stable polymorph in this dataset = 208 meV per atom
1.0
5.570 0.000 0.000
2.785 4.824 0.000
2.785 1.608 4.548
Mg Sm Y Th
1 1 1 1
Direct
0.750 0.750 0.750
0.500 0.500 0.500
0.000 0.000 0.000
0.250 0.250 0.250



# 17
Below is an optimized crystal structure of SmThMgZn, with properties calculated at the PBE level.

```
SmThMgZn
1.0
-4.699 2.288 -0.828
-4.455 -2.616 1.144
-2.971 1.505 4.112
Mg Sm Th Zn
1 1 1 1
Direct
0.750 0.750 0.750
0.000 0.000 0.000
0.500 0.500 0.500
0.250 0.250 0.250
```



# 18
Below is an optimized crystal structure of SmMg2Ti, with properties calculated at the PBE level.

```
SmMg2Ti
1.0
3.530 0.000 0.000
0.000 3.530 0.000
0.000 0.000 7.541
Mg Ti Sm
2 1 1
Direct
0.000 0.000 0.210
0.000 0.000 0.790
0.500 0.500 0.000
0.500 0.500 0.500
```



# 19
Below is an optimized crystal structure of SmYMgTi, with properties calculated at the PBE level.

```
SmYMgTi
1.0
-4.183 3.244 0.255
-2.445 1.526 -4.447
-4.845 -1.830 -1.122
Ti Y Sm Mg
1 1 1 1
Direct
0.000 0.000 0.000
0.750 0.750 0.750
0.250 0.250 0.250
0.500 0.500 0.500
```



# 20
Below is an optimized crystal structure of SmMg3Tl4, with properties calculated at the PBE level.

```
SmMg3Tl4
1.0
5.085 0.000 0.000
0.000 7.892 0.000
0.000 0.000 10.179
Tl Sm Mg
8 2 6
Direct
0.500 0.236 0.500
0.999 0.236 0.250
0.500 0.236 0.000
0.001 0.764 0.750
0.999 0.764 0.250
0.500 0.764 0.000
0.001 0.236 0.750
0.500 0.764 0.500
0.000 0.500 0.000
0.000 0.500 0.500
0.501 0.000 0.750
0.000 0.000 0.000
0.500 0.500 0.250
0.000 0.000 0.500
0.500 0.500 0.750
0.499 0.000 0.250
```



| no. | E_form (kJ/mol of formula units) |
| --- | --- |
| 1 | 58 |
| 2 | -42 |
| 3 | -80 |
| 4 | 25 |
| 5 | 11 |
| 6 | 20 |
| 7 | 187 |
| 8 | -17 |
| 9 | -42 |
| 10 | -2 |
| 11 | -26 |
| 12 | 63 |
| 13 | 92 |
| 14 | 74 |
| 15 | -19 |
| 16 | 62 |
| 17 | -30 |
| 18 | 52 |
| 19 | 54 |
| 20 | -120 |